Record 1
# TbMgCo2H8 PBE optimized geometry
# - Calculated total energy: -4.15 eV per atom
# - Size of the total moment: 0.00 μB/f.u.
# - DOS at the Fermi energy: 0.3045 states/eV per atom
data_TbMgCo2H8
_cell_length_a 4.5536
_cell_length_b 4.5536
_cell_length_c 15.6654
_cell_angle_alpha 90.00
_cell_angle_beta 90.00
_cell_angle_gamma 120.00
_space_group_name_H-M_alt 'R -3'
_space_group_IT_number 148
_space_group_name_Hall '-R 3'
loop_
_atom_site_label
_atom_site_fract_x
_atom_site_fract_y
_atom_site_fract_z
_atom_site_occupancy
Tb1 0.0000 0.0000 0.0000 1
Mg1 0.0000 0.0000 0.5000 1
Co1 0.0000 0.0000 0.1972 1
H1 0.0000 0.0000 0.3019 1
H2 0.0327 0.7509 0.8817 1

Record 2
# Y2Rh2I PBE optimized geometry
# - Energy relative to the elements, uncorrected: -461 meV/atom
# - Size of the total moment: 0.00 μB/f.u.
# - DOS at the Fermi energy: 0.5512 states/eV per atom
data_Y2Rh2I
_cell_length_a 5.368
_cell_length_b 5.368
_cell_length_c 8.465
_cell_angle_alpha 90.00
_cell_angle_beta 90.00
_cell_angle_gamma 90.00
_space_group_name_H-M_alt 'I 4/m m m'
_space_group_IT_number 139
_space_group_name_Hall '-I 4 2'
loop_
_atom_site_label
_atom_site_fract_x
_atom_site_fract_y
_atom_site_fract_z
_atom_site_occupancy
Y1 0.000 0.500 0.250 1
Rh1 0.000 0.000 0.151 1
I1 0.000 0.000 0.500 1